1.
## Tb2Dy5TmIn (PBE-GGA)

Data for a relaxed Tb2Dy5TmIn crystal.

The structure in CIF format:
```
data_Tb2Dy5TmIn
_chemical_formula_sum 'Tb8 Dy20 Tm4 In4'
_space_group_name_H-M_alt 'C m c m'
_space_group_IT_number 63
_space_group_name_Hall '-C 2c 2'
_cell_length_a 5.334
_cell_length_b 20.137
_cell_length_c 10.445
_cell_angle_alpha 90.00
_cell_angle_beta 90.00
_cell_angle_gamma 90.00
loop_
_atom_site_label
_atom_site_type_symbol
_atom_site_fract_x
_atom_site_fract_y
_atom_site_fract_z
Tb1 Tb 0.000 0.116 0.040
Dy1 Dy 0.000 0.012 0.750
Dy2 Dy 0.000 0.289 0.052
Dy3 Dy 0.000 0.382 0.750
Dy4 Dy 0.000 0.500 0.000
Tm1 Tm 0.000 0.207 0.750
In1 In 0.000 0.404 0.250
```

As for the calculated formation energy: -0.005 eV/atom. The calculation puts the size of the total moment at 0.00 μB/f.u. The value obtained for the density of states at the Fermi level is 1.371 states/eV per atom. For the calculated volume, the calculation gives 31.2 Å³/atom. Its total energy is -4.392 eV per atom.

2.
## Pr6Ge3N (PBE-GGA)

Data for a relaxed Pr6Ge3N crystal.

The structure in CIF format:
```
data_Pr6Ge3N
_chemical_formula_sum 'Pr12 Ge6 N2'
_space_group_name_H-M_alt 'P 1 21/c 1'
_space_group_IT_number 14
_space_group_name_Hall '-P 2ybc'
_cell_length_a 6.594
_cell_length_b 8.011
_cell_length_c 12.244
_cell_angle_alpha 90.00
_cell_angle_beta 121.88
_cell_angle_gamma 90.00
loop_
_atom_site_label
_atom_site_type_symbol
_atom_site_fract_x
_atom_site_fract_y
_atom_site_fract_z
Pr1 Pr 0.099 0.048 0.233
Pr2 Pr 0.200 0.708 0.062
Pr3 Pr 0.382 0.162 0.060
Ge1 Ge 0.313 0.108 0.748
Ge2 Ge 0.500 0.000 0.500
N1 N 0.000 0.000 0.000
```

The calculation puts the size of the total moment at 0.00 μB/f.u. The value obtained for the density of states at the Fermi level is 0.813 states/eV per atom. For the calculated volume, the calculation gives 27.5 Å³/atom. Its total energy is -5.823 eV per atom. The uncorrected formation energy comes out at -0.74 eV per atom.

3.
## AlPbN (PBE-GGA)

Data for a relaxed AlPbN crystal.

The structure in CIF format:
```
data_AlPbN
_chemical_formula_sum 'Al4 Pb4 N4'
_space_group_name_H-M_alt 'C 1 2/m 1'
_space_group_IT_number 12
_space_group_name_Hall '-C 2y'
_cell_length_a 11.620
_cell_length_b 3.247
_cell_length_c 7.268
_cell_angle_alpha 90.00
_cell_angle_beta 124.92
_cell_angle_gamma 90.00
loop_
_atom_site_label
_atom_site_type_symbol
_atom_site_fract_x
_atom_site_fract_y
_atom_site_fract_z
Al1 Al 0.209 0.000 0.095
Pb1 Pb 0.087 0.000 0.386
N1 N 0.135 0.500 0.940
```

The calculation puts the size of the total moment at 0.00 μB/f.u. The value obtained for the density of states at the Fermi level is 0.291 states/eV per atom. For the calculated volume, the calculation gives 18.7 Å³/atom. Its total energy is -5.387 eV per atom. The uncorrected formation energy comes out at -0.13 eV per atom.

4.
## FeRePd3 (PBE-GGA)

Data for a relaxed FeRePd3 crystal.

The structure in CIF format:
```
data_FeRePd3
_chemical_formula_sum 'Fe1 Re1 Pd3'
_space_group_name_H-M_alt 'P m -3 m'
_space_group_IT_number 221
_space_group_name_Hall '-P 4 2 3'
_cell_length_a 4.780
_cell_length_b 4.780
_cell_length_c 4.780
_cell_angle_alpha 90.00
_cell_angle_beta 90.00
_cell_angle_gamma 90.00
loop_
_atom_site_label
_atom_site_type_symbol
_atom_site_fract_x
_atom_site_fract_y
_atom_site_fract_z
Fe1 Fe 0.000 0.000 0.000
Re1 Re 0.500 0.500 0.500
Pd1 Pd 0.000 0.500 0.500
```

The energy above the lowest structure with this stoichiometry is 0.000 eV/f.u. As for the calculated formation energy: 1.536 eV/atom. The calculation puts the size of the total moment at 3.17 μB/f.u. The value obtained for the density of states at the Fermi level is 1.537 states/eV per atom. For the calculated volume, the calculation gives 21.8 Å³/atom. Its total energy is -5.762 eV per atom.

5.
## Li2Hg9Pb (PBE-GGA)

Data for a relaxed Li2Hg9Pb crystal.

The structure in CIF format:
```
data_Li2Hg9Pb
_chemical_formula_sum 'Li2 Hg9 Pb1'
_space_group_name_H-M_alt 'P m m m'
_space_group_IT_number 47
_space_group_name_Hall '-P 2 2'
_cell_length_a 4.403
_cell_length_b 4.556
_cell_length_c 14.457
_cell_angle_alpha 90.00
_cell_angle_beta 90.00
_cell_angle_gamma 90.00
loop_
_atom_site_label
_atom_site_type_symbol
_atom_site_fract_x
_atom_site_fract_y
_atom_site_fract_z
Li1 Li 0.000 0.000 0.156
Hg1 Hg 0.000 0.500 0.000
Hg2 Hg 0.000 0.500 0.318
Hg3 Hg 0.500 0.000 0.000
Hg4 Hg 0.500 0.000 0.314
Hg5 Hg 0.500 0.500 0.158
Hg6 Hg 0.500 0.500 0.500
Pb1 Pb 0.000 0.000 0.500
```

The energy above the lowest structure with this stoichiometry is 0.000 eV/f.u. As for the calculated formation energy: -0.099 eV/atom. The calculation puts the size of the total moment at 0.00 μB/f.u. The value obtained for the density of states at the Fermi level is 0.359 states/eV per atom. For the calculated volume, the calculation gives 24.2 Å³/atom. Its total energy is -0.953 eV per atom.

6.
## MgBSe2Br (PBE-GGA)

Data for a relaxed MgBSe2Br crystal.

The structure in CIF format:
```
data_MgBSe2Br
_chemical_formula_sum 'Mg1 B1 Se2 Br1'
_space_group_name_H-M_alt 'P 4/m m m'
_space_group_IT_number 123
_space_group_name_Hall '-P 4 2'
_cell_length_a 5.071
_cell_length_b 5.071
_cell_length_c 5.259
_cell_angle_alpha 90.00
_cell_angle_beta 90.00
_cell_angle_gamma 90.00
loop_
_atom_site_label
_atom_site_type_symbol
_atom_site_fract_x
_atom_site_fract_y
_atom_site_fract_z
Mg1 Mg 0.000 0.000 0.000
B1 B 0.500 0.500 0.500
Se1 Se 0.000 0.500 0.000
Br1 Br 0.000 0.000 0.500
```

The energy above the lowest structure with this stoichiometry is 2.690 eV/f.u. The calculation puts the size of the total moment at 1.05 μB/f.u. The value obtained for the density of states at the Fermi level is 1.077 states/eV per atom. For the calculated volume, the calculation gives 27.0 Å³/atom. Its total energy is -2.579 eV per atom. The uncorrected formation energy comes out at 0.80 eV per atom.

7.
## Mn2AlInTe (PBE-GGA)

Data for a relaxed Mn2AlInTe crystal.

The structure in CIF format:
```
data_Mn2AlInTe
_chemical_formula_sum 'Mn2 Al1 In1 Te1'
_space_group_name_H-M_alt 'P 4/m m m'
_space_group_IT_number 123
_space_group_name_Hall '-P 4 2'
_cell_length_a 4.747
_cell_length_b 4.747
_cell_length_c 5.198
_cell_angle_alpha 90.00
_cell_angle_beta 90.00
_cell_angle_gamma 90.00
loop_
_atom_site_label
_atom_site_type_symbol
_atom_site_fract_x
_atom_site_fract_y
_atom_site_fract_z
Mn1 Mn 0.000 0.500 0.000
Al1 Al 0.000 0.000 0.500
In1 In 0.500 0.500 0.500
Te1 Te 0.000 0.000 0.000
```

The calculation puts the size of the total moment at 6.63 μB/f.u. The value obtained for the density of states at the Fermi level is 0.975 states/eV per atom. For the calculated volume, the calculation gives 23.4 Å³/atom. Its total energy is -4.658 eV per atom. The uncorrected formation energy comes out at 0.93 eV per atom.

8.
## Fe2CuB2 (PBE-GGA)

Data for a relaxed Fe2CuB2 crystal.

The structure in CIF format:
```
data_Fe2CuB2
_chemical_formula_sum 'Fe4 Cu2 B4'
_space_group_name_H-M_alt 'P 4/m b m'
_space_group_IT_number 127
_space_group_name_Hall '-P 4 2ab'
_cell_length_a 5.484
_cell_length_b 5.484
_cell_length_c 2.906
_cell_angle_alpha 90.00
_cell_angle_beta 90.00
_cell_angle_gamma 90.00
loop_
_atom_site_label
_atom_site_type_symbol
_atom_site_fract_x
_atom_site_fract_y
_atom_site_fract_z
Fe1 Fe 0.168 0.332 0.000
Cu1 Cu 0.000 0.000 0.500
B1 B 0.116 0.616 0.500
```

As for the calculated formation energy: -0.134 eV/atom. The calculation puts the size of the total moment at 3.01 μB/f.u. The value obtained for the density of states at the Fermi level is 0.935 states/eV per atom. For the calculated volume, the calculation gives 8.7 Å³/atom. Its total energy is -7.010 eV per atom.